# 1
{"formula": "TmThPa2", "functional": "GGA-PBE", "state": "optimized geometry", "sg": "Fm-3m", "e_form_ev_per_atom": 0.436, "n_ef_per_ev_cell": 40.69, "vol_a3_per_atom": 27.918, "relative_energy_ev_per_atom": 0.260, "lattice_angstrom": [[7.644, 0.000, 0.000], [0.000, 7.644, 0.000], [0.000, 0.000, 7.644]], "species": ["Tm", "Tm", "Tm", "Tm", "Th", "Th", "Th", "Th", "Pa", "Pa", "Pa", "Pa", "Pa", "Pa", "Pa", "Pa"], "frac_coords": [[0.000, 0.000, 0.000], [0.000, 0.500, 0.500], [0.500, 0.000, 0.500], [0.500, 0.500, 0.000], [0.000, 0.000, 0.500], [0.000, 0.500, 0.000], [0.500, 0.000, 0.000], [0.500, 0.500, 0.500], [0.250, 0.250, 0.250], [0.250, 0.250, 0.750], [0.250, 0.750, 0.250], [0.250, 0.750, 0.750], [0.750, 0.250, 0.250], [0.750, 0.250, 0.750], [0.750, 0.750, 0.250], [0.750, 0.750, 0.750]]}

=====

# 2
{"formula": "IBr2O", "functional": "GGA-PBE", "state": "optimized geometry", "sg": "R-3m", "n_ef_per_ev_cell": 7.08, "vol_a3_per_atom": 30.341, "relative_energy_ev_per_atom": 0.000, "formation_energy_uncorrected_mev_per_atom": 624, "lattice_angstrom": [[4.124, 0.000, 0.000], [-2.062, 3.571, 0.000], [0.000, 0.000, 24.724]], "species": ["I", "I", "I", "Br", "Br", "Br", "Br", "Br", "Br", "O", "O", "O"], "frac_coords": [[0.000, 0.000, 0.000], [0.333, 0.667, 0.667], [0.667, 0.333, 0.333], [0.000, 0.000, 0.109], [0.000, 0.000, 0.891], [0.333, 0.667, 0.558], [0.333, 0.667, 0.775], [0.667, 0.333, 0.225], [0.667, 0.333, 0.442], [0.000, 0.000, 0.500], [0.333, 0.667, 0.167], [0.667, 0.333, 0.833]]}